This record from Alexandria via LeMat-Bulk describes a relaxed structure of Na7RuN3. The functional is GGA-PBE.

Lattice parameters (Å, degrees): 6.9325 6.9325 8.5609 127.15 127.15 60.15
Fractional positions:
Na (0.0000, 0.0000, 0.0000)
Na (0.0591, 0.5479, 0.1108)
Na (0.1179, 0.6219, 0.5917)
Na (0.5407, 0.5407, 0.0751)
Na (0.5479, 0.0591, 0.1108)
Na (0.6219, 0.1179, 0.5917)
Na (0.6353, 0.6353, 0.6234)
Ru (0.2035, 0.2035, 0.7521)
N (0.0777, 0.0777, 0.7964)
N (0.0844, 0.5278, 0.8093)
N (0.5278, 0.0844, 0.8093)

Its energy is -3.8697 eV per atom. For the raw formation energy, the calculation gives 0.0835 eV per atom. Its space group is Cm.